A plane-wave DFT calculation with GGA-PBE was carried out for crystalline ZrTeRh2F at its relaxed geometry.

Properties
Density of states at the Fermi level ... 1.10 states/eV/atom
Uncorrected formation energy ... -0.264 eV/atom
Spin magnetization ... 0.000 Bohr magnetons per cell
Space-group type ... P4/mmm

a = 4.613 Å, b = 4.142 Å, c = 4.613 Å
α = 90.00°, β = 90.00°, γ = 90.00°
Fractional coordinates of all 5 atoms:
Te1 0.500 0.500 0.500
Rh1 0.000 0.000 0.500
Rh2 0.500 0.000 0.000
Zr1 0.000 0.500 0.000
F1 0.000 0.000 0.000